No. 1
## Rb2AgF8 (GGA-PBE)

Data for a geometry-optimized Rb2AgF8 structure.

Summary:
The calculation puts the density of states at the Fermi level at 0.47 states/eV/cell. As for the formation energy from raw total energies: -1.49 eV per atom. The total magnetization comes out at 0.97 μB per formula unit.

The structure in POSCAR format:
```
Rb2AgF8
1.0
5.482 -3.108 0.000
5.482 3.108 0.000
-3.264 0.000 6.062
Rb Ag F
2 1 8
Cartesian
1.789 0.000 1.539
5.912 0.000 4.523
5.482 0.000 0.000
-0.954 0.000 3.369
4.307 1.388 0.730
1.103 0.000 4.226
3.394 1.388 5.332
4.307 -1.388 0.730
6.598 0.000 1.836
3.394 -1.388 5.332
8.654 0.000 2.693
```



No. 2
## RbAg3F9 (GGA-PBE)

Data for a geometry-optimized RbAg3F9 structure.

Summary:
The calculation puts the density of states at the Fermi level at 6.01 states/eV/cell. As for the formation energy from raw total energies: -1.36 eV per atom. The total magnetization comes out at 0.00 μB per formula unit.

The structure in POSCAR format:
```
RbAg3F9
1.0
8.035 0.000 0.000
-4.017 6.958 0.000
0.000 0.000 4.191
Rb Ag F
1 3 9
Cartesian
0.000 0.000 0.000
-2.009 3.479 2.095
4.017 0.000 2.095
2.009 3.479 2.095
-2.009 3.479 0.000
0.000 2.797 2.095
-1.595 5.560 2.095
2.422 1.398 2.095
4.017 0.000 0.000
2.009 3.479 0.000
1.595 5.560 2.095
5.613 1.398 2.095
4.017 4.161 2.095
```



No. 3
## RbAg3F3 (GGA-PBE)

Data for a geometry-optimized RbAg3F3 structure.

Summary:
The calculation puts the density of states at the Fermi level at 2.23 states/eV/cell. As for the formation energy from raw total energies: -1.25 eV per atom. The total magnetization comes out at 0.00 μB per formula unit.

The structure in POSCAR format:
```
RbAg3F3
1.0
8.680 0.000 0.000
-4.340 7.517 0.000
0.000 0.000 4.122
Rb Ag F
2 6 6
Cartesian
0.000 5.012 1.031
4.340 2.506 3.092
-3.321 6.002 3.092
0.803 1.640 3.092
1.822 0.124 1.031
2.518 7.393 3.092
3.537 5.877 1.031
7.662 1.516 1.031
-0.974 3.124 3.092
-1.148 6.799 3.092
2.218 2.405 1.031
2.122 5.112 3.092
5.488 0.719 1.031
5.314 4.393 1.031
```



No. 4
## Rb3Ag2F9 (GGA-PBE)

Data for a geometry-optimized Rb3Ag2F9 structure.

Summary:
The calculation puts the density of states at the Fermi level at 2.76 states/eV/cell. As for the formation energy from raw total energies: -1.83 eV per atom. The total magnetization comes out at 0.00 μB per formula unit.

The structure in POSCAR format:
```
Rb3Ag2F9
1.0
6.163 0.000 0.000
-3.082 5.338 0.000
0.000 0.000 7.804
Rb Ag F
3 2 9
Cartesian
0.000 0.000 0.000
0.000 3.558 2.900
3.082 1.779 4.904
0.000 3.558 6.612
3.082 1.779 1.192
-1.541 2.669 0.000
0.000 1.864 5.432
-1.468 4.406 5.432
1.614 0.932 2.373
3.082 0.000 0.000
1.541 2.669 0.000
1.468 4.406 5.432
4.550 0.932 2.373
3.082 3.474 2.373
```



No. 5
## Rb3Ag5F12 (GGA-PBE)

Data for a geometry-optimized Rb3Ag5F12 structure.

Summary:
The calculation puts the density of states at the Fermi level at 31.93 states/eV/cell. As for the formation energy from raw total energies: -1.60 eV per atom. The total magnetization comes out at 3.90 μB per formula unit.

The structure in POSCAR format:
```
Rb3Ag5F12
1.0
-7.309 7.309 7.309
7.309 -7.309 7.309
7.309 7.309 -7.309
Rb Ag F
12 20 48
Cartesian
3.654 1.827 0.000
7.309 3.654 -1.827
1.827 0.000 3.654
9.136 0.000 3.654
0.000 3.654 1.827
3.654 -1.827 7.309
3.654 9.136 0.000
7.309 3.654 5.481
-1.827 7.309 3.654
5.481 7.309 3.654
0.000 3.654 9.136
3.654 5.481 7.309
0.000 0.000 0.000
3.654 3.654 -3.654
3.654 -3.654 3.654
7.309 0.000 0.000
10.963 1.827 0.000
7.309 -3.654 5.481
5.481 7.309 -3.654
5.481 0.000 3.654
3.654 5.481 0.000
7.309 3.654 1.827
-3.654 3.654 3.654
0.000 7.309 0.000
0.000 0.000 7.309
3.654 3.654 3.654
0.000 3.654 5.481
3.654 1.827 7.309
1.827 7.309 3.654
1.827 0.000 10.963
0.000 10.963 1.827
-3.654 5.481 7.309
2.033 -0.425 0.681
8.930 4.336 -4.080
9.341 0.425 0.681
8.930 -2.973 4.080
6.883 -0.681 2.033
11.388 -1.622 2.973
0.681 2.033 -0.425
10.282 3.229 -1.622
4.336 4.080 -1.622
6.627 2.033 0.425
-0.425 0.681 2.033
4.080 -1.622 4.336
6.883 6.627 -2.033
4.080 1.622 2.973
4.336 -4.080 8.930
6.627 -2.033 6.883
2.973 4.080 1.622
7.990 5.276 0.425
4.080 8.930 -2.973
6.883 0.681 5.276
2.033 6.883 -0.681
8.930 2.973 3.229
1.622 2.973 4.080
2.033 0.425 6.627
5.276 6.883 0.681
5.687 4.336 3.229
-1.622 4.336 4.080
5.276 0.425 7.990
0.425 6.627 2.033
3.229 -1.622 10.282
-0.681 2.033 6.883
4.336 3.229 5.687
0.681 9.341 0.425
2.973 11.388 -1.622
3.229 5.687 4.336
0.425 0.681 9.341
3.229 8.930 2.973
7.734 6.627 5.276
0.681 5.276 6.883
2.973 3.229 8.930
-2.973 4.080 8.930
6.627 5.276 7.734
-4.080 8.930 4.336
0.425 7.990 5.276
-1.622 10.282 3.229
-2.033 6.883 6.627
-1.622 2.973 11.388
5.276 7.734 6.627
```



No. 6
## RbAgF2 (GGA-PBE)

Data for a geometry-optimized RbAgF2 structure.

Summary:
The calculation puts the density of states at the Fermi level at 0.00 states/eV/cell. As for the offset from the most stable computed form: 84.0 meV/atom. As for the formation energy from raw total energies: -1.75 eV per atom. The total magnetization comes out at 0.00 μB per formula unit.

The structure in POSCAR format:
```
RbAgF2
1.0
1.872 1.081 6.343
-1.872 1.081 6.343
0.000 -2.161 6.343
Rb Ag F
1 1 2
Cartesian
0.000 0.000 0.000
0.000 0.000 15.781
0.000 0.000 4.516
0.000 0.000 8.082
```



No. 7
## RbAg3F4 (GGA-PBE)

Data for a geometry-optimized RbAg3F4 structure.

Summary:
The calculation puts the density of states at the Fermi level at 0.65 states/eV/cell. As for the offset from the most stable computed form: 14.2 meV/atom. As for the formation energy from raw total energies: -1.37 eV per atom. The total magnetization comes out at 0.00 μB per formula unit.

The structure in POSCAR format:
```
RbAg3F4
1.0
-3.242 3.242 3.546
3.242 -3.242 3.546
3.242 3.242 -3.546
Rb Ag F
1 3 4
Cartesian
0.000 0.000 0.000
3.242 0.000 1.773
0.000 0.000 3.546
0.000 3.242 1.773
1.402 -1.402 2.208
1.840 1.840 1.338
-1.402 1.402 2.208
1.402 1.402 4.883
```



No. 8
## Rb2AgF (GGA-PBE)

Data for a geometry-optimized Rb2AgF structure.

Summary:
The calculation puts the density of states at the Fermi level at 0.00 states/eV/cell. As for the offset from the most stable computed form: 0.0 meV/atom. As for the formation energy from raw total energies: -1.22 eV per atom. The total magnetization comes out at 0.00 μB per formula unit.

The structure in POSCAR format:
```
Rb2AgF
1.0
-4.078 4.078 4.757
4.078 -4.078 4.757
4.078 4.078 -4.757
Rb Ag F
4 2 2
Cartesian
2.039 1.295 -1.189
2.784 -2.039 5.947
2.039 2.784 3.568
1.295 6.118 1.189
4.078 0.000 2.379
0.000 0.000 4.757
0.000 0.000 0.000
0.000 4.078 2.379
```



No. 9
## Rb12Ag3F5 (GGA-PBE)

Data for a geometry-optimized Rb12Ag3F5 structure.

Summary:
The calculation puts the density of states at the Fermi level at 38.46 states/eV/cell. As for the formation energy from raw total energies: -1.23 eV per atom. The total magnetization comes out at 0.23 μB per formula unit.

The structure in POSCAR format:
```
Rb12Ag3F5
1.0
-9.407 9.407 9.407
9.407 -9.407 9.407
9.407 9.407 -9.407
Rb Ag F
48 12 20
Cartesian
2.802 -0.635 0.871
11.309 5.575 -5.339
12.209 0.635 0.871
11.309 -3.832 5.339
8.772 -0.871 2.802
14.746 -1.901 3.832
0.871 2.802 -0.635
13.240 4.069 -1.901
5.575 5.339 -1.901
8.536 2.802 0.635
-0.635 0.871 2.802
5.339 -1.901 5.575
8.772 8.536 -2.802
5.339 1.901 3.832
5.575 -5.339 11.309
8.536 -2.802 8.772
3.832 5.339 1.901
10.279 6.605 0.635
5.339 11.309 -3.832
8.772 0.871 6.605
2.802 8.772 -0.871
11.309 3.832 4.069
1.901 3.832 5.339
2.802 0.635 8.536
6.605 8.772 0.871
7.506 5.575 4.069
-1.901 5.575 5.339
6.605 0.635 10.279
0.635 8.536 2.802
4.069 -1.901 13.240
-0.871 2.802 8.772
5.575 4.069 7.506
0.871 12.209 0.635
3.832 14.746 -1.901
4.069 7.506 5.575
0.635 0.871 12.209
4.069 11.309 3.832
10.042 8.536 6.605
0.871 6.605 8.772
3.832 4.069 11.309
-3.832 5.339 11.309
8.536 6.605 10.042
-5.339 11.309 5.575
0.635 10.279 6.605
-1.901 13.240 4.069
-2.802 8.772 8.536
-1.901 3.832 14.746
6.605 10.042 8.536
4.704 2.352 0.000
9.407 4.704 -2.352
2.352 0.000 4.704
11.759 0.000 4.704
0.000 4.704 2.352
4.704 -2.352 9.407
4.704 11.759 0.000
9.407 4.704 7.055
-2.352 9.407 4.704
7.055 9.407 4.704
0.000 4.704 11.759
4.704 7.055 9.407
0.000 0.000 0.000
4.704 4.704 -4.704
4.704 -4.704 4.704
9.407 0.000 0.000
14.111 2.352 0.000
9.407 -4.704 7.055
7.055 9.407 -4.704
7.055 0.000 4.704
4.704 7.055 0.000
9.407 4.704 2.352
-4.704 4.704 4.704
0.000 9.407 0.000
0.000 0.000 9.407
4.704 4.704 4.704
0.000 4.704 7.055
4.704 2.352 9.407
2.352 9.407 4.704
2.352 0.000 14.111
0.000 14.111 2.352
-4.704 7.055 9.407
```



No. 10
## RbAgF2 (GGA-PBE)

Data for a geometry-optimized RbAgF2 structure.

Summary:
The calculation puts the density of states at the Fermi level at 0.00 states/eV/cell. As for the offset from the most stable computed form: 380.9 meV/atom. As for the formation energy from raw total energies: -1.46 eV per atom. The total magnetization comes out at 0.00 μB per formula unit.

The structure in POSCAR format:
```
RbAgF2
1.0
1.974 1.140 7.173
-1.974 1.140 7.173
0.000 -2.280 7.173
Rb Ag F
1 1 2
Cartesian
0.000 0.000 0.000
0.000 0.000 10.759
0.000 0.000 2.460
0.000 0.000 19.058
```



No. 11
## RbAgF2 (GGA-PBE)

Data for a geometry-optimized RbAgF2 structure.

Summary:
The calculation puts the density of states at the Fermi level at 0.00 states/eV/cell. As for the offset from the most stable computed form: 45.5 meV/atom. As for the formation energy from raw total energies: -1.79 eV per atom. The total magnetization comes out at 0.00 μB per formula unit.

The structure in POSCAR format:
```
RbAgF2
1.0
3.516 -5.140 0.000
3.516 5.140 0.000
-1.437 0.000 4.424
Rb Ag F
2 2 4
Cartesian
2.439 3.636 3.318
3.157 -3.636 1.106
3.157 0.884 1.106
2.439 -0.884 3.318
0.590 1.158 3.720
1.309 -1.158 1.508
4.287 1.158 2.916
5.006 -1.158 0.704
```



No. 12
## RbAgF3 (GGA-PBE)

Data for a geometry-optimized RbAgF3 structure.

Summary:
The calculation puts the density of states at the Fermi level at 6.02 states/eV/cell. As for the formation energy from raw total energies: -1.76 eV per atom. The total magnetization comes out at 0.00 μB per formula unit.

The structure in POSCAR format:
```
RbAgF3
1.0
10.308 -2.170 0.000
10.308 2.170 0.000
-0.886 0.000 4.192
Rb Ag F
2 2 6
Cartesian
1.387 0.000 1.389
18.344 0.000 2.803
6.451 0.000 0.278
13.280 0.000 3.914
3.052 0.000 3.932
6.090 0.000 2.392
8.711 0.000 0.755
11.020 0.000 3.437
13.641 0.000 1.800
16.679 0.000 0.261
```